(1)
# GGA-PBE LaScPt, optimized geometry
data_LaScPt
_chemical_formula_sum 'La4 Sc4 Pt4'
_symmetry_space_group_name_H-M 'F -4 3 m'
_symmetry_Int_Tables_number 216
_symmetry_space_group_name_Hall 'F -4 2 3'
_cell_length_a 6.891
_cell_length_b 6.891
_cell_length_c 6.891
_cell_angle_alpha 90.00
_cell_angle_beta 90.00
_cell_angle_gamma 90.00
loop_
_atom_site_label
_atom_site_type_symbol
_atom_site_fract_x
_atom_site_fract_y
_atom_site_fract_z
_atom_site_occupancy
La1 La 0.000 0.000 0.000 1
Sc1 Sc 0.000 0.000 0.500 1
Pt1 Pt 0.250 0.250 0.250 1
# DOS at the Fermi energy: 13.23 states/eV per cell
# ΔE_f: -68.0 kJ per mole of atoms
# total magnetic moment: 0.00 μB/atom
# ΔE to the lowest computed polymorph: 0.217 eV/atom

=====

(2)
# GGA-PBE La2ScPt, optimized geometry
data_La2ScPt
_chemical_formula_sum 'La8 Sc4 Pt4'
_symmetry_space_group_name_H-M 'F -4 3 m'
_symmetry_Int_Tables_number 216
_symmetry_space_group_name_Hall 'F -4 2 3'
_cell_length_a 7.314
_cell_length_b 7.314
_cell_length_c 7.314
_cell_angle_alpha 90.00
_cell_angle_beta 90.00
_cell_angle_gamma 90.00
loop_
_atom_site_label
_atom_site_type_symbol
_atom_site_fract_x
_atom_site_fract_y
_atom_site_fract_z
_atom_site_occupancy
La1 La 0.000 0.000 0.000 1
La2 La 0.250 0.250 0.250 1
Sc1 Sc 0.250 0.250 0.750 1
Pt1 Pt 0.000 0.000 0.500 1
# DOS at the Fermi energy: 23.28 states/eV per cell
# ΔE_f: -30.4 kJ per mole of atoms
# total magnetic moment: 0.33 μB/atom
# ΔE to the lowest computed polymorph: 0.253 eV/atom

=====

(3)
# GGA-PBE LaSc3Pt2, optimized geometry
data_LaSc3Pt2
_chemical_formula_sum 'La2 Sc6 Pt4'
_symmetry_space_group_name_H-M 'P m c 21'
_symmetry_Int_Tables_number 26
_symmetry_space_group_name_Hall 'P 2c -2'
_cell_length_a 4.550
_cell_length_b 8.645
_cell_length_c 6.875
_cell_angle_alpha 90.00
_cell_angle_beta 90.00
_cell_angle_gamma 90.00
loop_
_atom_site_label
_atom_site_type_symbol
_atom_site_fract_x
_atom_site_fract_y
_atom_site_fract_z
_atom_site_occupancy
La1 La 0.000 0.071 0.000 1
Sc1 Sc 0.000 0.342 0.634 1
Sc2 Sc 0.500 0.199 0.348 1
Sc3 Sc 0.500 0.430 0.973 1
Pt1 Pt 0.000 0.356 0.240 1
Pt2 Pt 0.500 0.169 0.733 1
# DOS at the Fermi energy: 8.44 states/eV per cell
# ΔE_f: -90.3 kJ per mole of atoms
# total magnetic moment: 0.00 μB/atom

=====

(4)
# GGA-PBE LaSc4Pt5, optimized geometry
data_LaSc4Pt5
_chemical_formula_sum 'La1 Sc4 Pt5'
_symmetry_space_group_name_H-M 'P 4/m m m'
_symmetry_Int_Tables_number 123
_symmetry_space_group_name_Hall '-P 4 2'
_cell_length_a 3.352
_cell_length_b 3.352
_cell_length_c 16.981
_cell_angle_alpha 90.00
_cell_angle_beta 90.00
_cell_angle_gamma 90.00
loop_
_atom_site_label
_atom_site_type_symbol
_atom_site_fract_x
_atom_site_fract_y
_atom_site_fract_z
_atom_site_occupancy
La1 La 0.000 0.000 0.000 1
Sc1 Sc 0.000 0.000 0.215 1
Sc2 Sc 0.000 0.000 0.406 1
Pt1 Pt 0.500 0.500 0.129 1
Pt2 Pt 0.500 0.500 0.314 1
Pt3 Pt 0.500 0.500 0.500 1
# DOS at the Fermi energy: 6.09 states/eV per cell
# ΔE_f: -116.2 kJ per mole of atoms
# total magnetic moment: 0.00 μB/atom

=====

(5)
# GGA-PBE La2ScPt2, optimized geometry
data_La2ScPt2
_chemical_formula_sum 'La4 Sc2 Pt4'
_symmetry_space_group_name_H-M 'P 4/m b m'
_symmetry_Int_Tables_number 127
_symmetry_space_group_name_Hall '-P 4 2ab'
_cell_length_a 8.399
_cell_length_b 8.399
_cell_length_c 3.494
_cell_angle_alpha 90.00
_cell_angle_beta 90.00
_cell_angle_gamma 90.00
loop_
_atom_site_label
_atom_site_type_symbol
_atom_site_fract_x
_atom_site_fract_y
_atom_site_fract_z
_atom_site_occupancy
La1 La 0.142 0.358 0.000 1
Sc1 Sc 0.000 0.000 0.000 1
Pt1 Pt 0.166 0.666 0.500 1
# DOS at the Fermi energy: 9.50 states/eV per cell
# ΔE_f: -60.0 kJ per mole of atoms
# total magnetic moment: 0.00 μB/atom
# ΔE to the lowest computed polymorph: 0.351 eV/atom

=====

(6)
# GGA-PBE LaSc2Pt2, optimized geometry
data_LaSc2Pt2
_chemical_formula_sum 'La2 Sc4 Pt4'
_symmetry_space_group_name_H-M 'P 4/m b m'
_symmetry_Int_Tables_number 127
_symmetry_space_group_name_Hall '-P 4 2ab'
_cell_length_a 7.786
_cell_length_b 7.786
_cell_length_c 3.622
_cell_angle_alpha 90.00
_cell_angle_beta 90.00
_cell_angle_gamma 90.00
loop_
_atom_site_label
_atom_site_type_symbol
_atom_site_fract_x
_atom_site_fract_y
_atom_site_fract_z
_atom_site_occupancy
La1 La 0.000 0.000 0.000 1
Sc1 Sc 0.148 0.352 0.500 1
Pt1 Pt 0.137 0.637 0.000 1
# DOS at the Fermi energy: 11.15 states/eV per cell
# ΔE_f: -88.4 kJ per mole of atoms
# total magnetic moment: 0.00 μB/atom
# ΔE to the lowest computed polymorph: 0.118 eV/atom

=====

Question: Which formula does entry 6 have?
Answer: LaSc2Pt2

=====

Question: Look up the ΔE_f of the second one.
Answer: -30.4 kJ per mole of atoms